Entry from Alexandria: Ac4Sn2Br3 after structural relaxation (PBE).

Results
total DFT energy (no corrections): -4.516 eV/atom

a = 4.8067 Å, b = 4.8067 Å, c = 18.0362 Å
α = 90.00°, β = 90.00°, γ = 120.00°
Last column: nearest neighbours and their distance in Å.
Space group P-3m1 (No. 164)
One atom of each set of equivalent atoms:
Ac1 0.0000 0.0000 0.1940 [2 per cell]  3 Br 3.26, 3 Sn 3.33
Ac2 0.3333 0.6667 0.3947 [2 per cell]  3 Sn 3.29, 3 Br 3.36
Sn1 0.3333 0.6667 0.7037 [2 per cell]  6 Ac 3.29-3.33
Br1 0.0000 0.0000 0.5000 [1 per cell]  6 Ac 3.36
Br2 0.3333 0.6667 0.0995 [2 per cell]  3 Ac 3.26


Entry from Alexandria: Ac2SnBr after structural relaxation (PBE).

Results
total DFT energy (no corrections): -4.432 eV/atom

a = 4.7198 Å, b = 4.7198 Å, c = 24.2070 Å
α = 90.00°, β = 90.00°, γ = 120.00°
Last column: nearest neighbours and their distance in Å.
Space group R3m (No. 160, hexagonal axes)
One atom of each set of equivalent atoms:
Ac1 0.0000 0.0000 0.0000 [3 per cell]  3 Sn 3.27, 3 Br 3.58
Ac2 0.0000 0.0000 0.1854 [3 per cell]  3 Sn 3.25, 3 Br 3.48
Sn1 0.0000 0.0000 0.5919 [3 per cell]  6 Ac 3.25-3.27
Br1 0.0000 0.0000 0.7628 [3 per cell]  6 Ac 3.48-3.58


Entry from Alexandria: Ac3SnBr3 after structural relaxation (PBE).

Results
total DFT energy (no corrections): -4.407 eV/atom

a = 13.0753 Å, b = 13.0753 Å, c = 13.0753 Å
α = 90.00°, β = 90.00°, γ = 90.00°
Last column: nearest neighbours and their distance in Å.
Space group I4_132 (No. 214)
One atom of each set of equivalent atoms:
Ac1 0.1205 0.3705 0.1250 [24 per cell]  2 Sn 3.21, 4 Br 3.28-3.33
Sn1 0.1250 0.1250 0.1250 [8 per cell]  6 Ac 3.21
Br1 0.1242 0.1258 0.6250 [24 per cell]  4 Ac 3.28-3.33


Entry from Alexandria: Ac3SnBr3 after structural relaxation (PBE).

Results
total DFT energy (no corrections): -4.379 eV/atom

a = 6.5057 Å, b = 6.5057 Å, c = 6.5057 Å
α = 90.00°, β = 90.00°, γ = 90.00°
Last column: nearest neighbours and their distance in Å.
Space group Pm-3m (No. 221)
One atom of each set of equivalent atoms:
Ac1 0.0000 0.0000 0.5000 [3 per cell]  2 Sn 3.25, 4 Br 3.25
Sn1 0.0000 0.0000 0.0000 [1 per cell]  6 Ac 3.25
Br1 0.0000 0.5000 0.5000 [3 per cell]  4 Ac 3.25


Entry from Alexandria: Ac8Sn5Br after structural relaxation (PBE).

Results
total DFT energy (no corrections): -4.628 eV/atom

a = 10.0847 Å, b = 10.0847 Å, c = 10.2490 Å
α = 90.00°, β = 90.00°, γ = 90.00°
Last column: nearest neighbours and their distance in Å.
Space group I-4 (No. 82)
One atom of each set of equivalent atoms:
Ac1 0.0722 0.1797 0.1993 [8 per cell]  1 Br 3.35, 5 Sn 3.37-3.65
Ac2 0.0751 0.3150 0.5675 [8 per cell]  5 Sn 3.33-3.64
Sn1 0.0000 0.0000 0.5000 [2 per cell]  8 Ac 3.34-3.65
Sn2 0.1255 0.2478 0.8814 [8 per cell]  8 Ac 3.33-3.65
Br1 0.0000 0.5000 0.2500 [2 per cell]  4 Ac 3.35


Entry from Alexandria: AcSnBr2 after structural relaxation (PBE).

Results
total DFT energy (no corrections): -3.448 eV/atom

a = 3.9356 Å, b = 3.9356 Å, c = 33.2295 Å
α = 90.00°, β = 90.00°, γ = 120.00°
Last column: nearest neighbours and their distance in Å.
Space group R-3m (No. 166, hexagonal axes)
One atom of each set of equivalent atoms:
Ac1 0.0000 0.0000 0.0000 [3 per cell]  2 Br 2.95
Sn1 0.0000 0.0000 0.5000 [3 per cell]  6 Br 3.44
Br1 0.0000 0.0000 0.0889 [6 per cell]  1 Ac 2.95